Computed, not measured: crystalline Cs2MnHgO4 at its relaxed geometry at the PBE+U level of DFT.

Volume = 458.5 Å³/cell
ρ = 4.2 g/cm3
E_tot = -74.3 eV/cell
Magnetization = 2.0 Bohr magnetons per cell

CIF file:
```
data_Cs2MnHgO4
_chemical_formula_sum 'Cs4 Mn2 Hg2 O8'
_symmetry_space_group_name_H-M 'P 1'
_symmetry_Int_Tables_number 1
_cell_length_a 6.864
_cell_length_b 6.870
_cell_length_c 11.735
_cell_angle_alpha 81.60
_cell_angle_beta 72.99
_cell_angle_gamma 60.03
loop_
_symmetry_equiv_pos_as_xyz
'x,y,z'
loop_
_atom_site_label
_atom_site_fract_x
_atom_site_fract_y
_atom_site_fract_z
Cs1 0.186 0.000 0.628
Cs2 0.814 0.000 0.372
Cs3 0.564 0.500 0.872
Cs4 0.936 0.500 0.128
Mn1 0.250 0.500 0.500
Mn2 0.500 0.000 0.000
Hg1 0.750 0.500 0.500
Hg2 0.000 0.000 0.000
O1 0.396 0.835 0.083
O2 0.314 0.165 0.917
O3 0.769 0.835 0.917
O4 0.521 0.165 0.083
O5 0.354 0.665 0.417
O6 0.436 0.335 0.583
O7 0.981 0.665 0.583
O8 0.229 0.335 0.417
```